Record 1
# GGA-PBE CaSbAs, optimized geometry
data_CaSbAs
_space_group_name_H-M_alt 'F -4 3 m'
_space_group_IT_number 216
_space_group_name_Hall 'F -4 2 3'
_cell_length_a 7.077
_cell_length_b 7.077
_cell_length_c 7.077
_cell_angle_alpha 90.00
_cell_angle_beta 90.00
_cell_angle_gamma 90.00
loop_
_atom_site_label
_atom_site_type_symbol
_atom_site_fract_x
_atom_site_fract_y
_atom_site_fract_z
Ca1 Ca 0.000 0.000 0.000
Sb1 Sb 0.000 0.000 0.500
As1 As 0.250 0.250 0.750
# Energy relative to the lowest polymorph listed for this composition, eV per atom: 0.3001
# Formation energy from raw total energies, kJ per mole of atoms: -35.7

Record 2
# GGA-PBE CaSbAs, optimized geometry
data_CaSbAs
_space_group_name_H-M_alt 'F -4 3 m'
_space_group_IT_number 216
_space_group_name_Hall 'F -4 2 3'
_cell_length_a 7.082
_cell_length_b 7.082
_cell_length_c 7.082
_cell_angle_alpha 90.00
_cell_angle_beta 90.00
_cell_angle_gamma 90.00
loop_
_atom_site_label
_atom_site_type_symbol
_atom_site_fract_x
_atom_site_fract_y
_atom_site_fract_z
Ca1 Ca 0.000 0.000 0.000
Sb1 Sb 0.250 0.250 0.250
As1 As 0.250 0.250 0.750
# Energy relative to the lowest polymorph listed for this composition, eV per atom: 0.4569
# Formation energy from raw total energies, kJ per mole of atoms: -20.5

Record 3
# GGA-PBE Ca4Sb2As, optimized geometry
data_Ca4Sb2As
_space_group_name_H-M_alt 'I 41/a m d'
_space_group_IT_number 141
_cell_length_a 9.590
_cell_length_b 9.590
_cell_length_c 9.921
_cell_angle_alpha 90.00
_cell_angle_beta 90.00
_cell_angle_gamma 90.00
loop_
_space_group_symop_operation_xyz
'x,y,z'
'-x,-y,-z'
'-y+1/4,x+3/4,z+1/4'
'y+1/4,-x+3/4,-z+1/4'
'-x+1/2,-y,z+1/2'
'x+1/2,y,-z+1/2'
'y+1/4,-x+1/4,z+3/4'
'-y+1/4,x+1/4,-z+3/4'
'x,-y,-z'
'-x,y,z'
'-y+1/4,-x+1/4,-z+3/4'
'y+1/4,x+1/4,z+3/4'
'-x+1/2,y,-z+1/2'
'x+1/2,-y,z+1/2'
'y+1/4,x+3/4,-z+1/4'
'-y+1/4,-x+3/4,z+1/4'
'x+1/2,y+1/2,z+1/2'
'-x+1/2,-y+1/2,-z+1/2'
'-y+3/4,x+1/4,z+3/4'
'y+3/4,-x+1/4,-z+3/4'
'-x,-y+1/2,z'
'x,y+1/2,-z'
'y+3/4,-x+3/4,z+1/4'
'-y+3/4,x+3/4,-z+1/4'
'x+1/2,-y+1/2,-z+1/2'
'-x+1/2,y+1/2,z+1/2'
'-y+3/4,-x+3/4,-z+1/4'
'y+3/4,x+3/4,z+1/4'
'-x,y+1/2,-z'
'x,-y+1/2,z'
'y+3/4,x+1/4,-z+3/4'
'-y+3/4,-x+1/4,z+3/4'
loop_
_atom_site_label
_atom_site_type_symbol
_atom_site_fract_x
_atom_site_fract_y
_atom_site_fract_z
Ca1 Ca 0.000 0.054 0.185
Sb1 Sb 0.000 0.000 0.500
As1 As 0.000 0.250 0.875
# Energy relative to the lowest polymorph listed for this composition, eV per atom: 0.0000
# Formation energy from raw total energies, kJ per mole of atoms: -85.3

Record 4
# GGA-PBE CaSbAs, optimized geometry
data_CaSbAs
_space_group_name_H-M_alt 'I 4 m m'
_space_group_IT_number 107
_space_group_name_Hall 'I 4 -2'
_cell_length_a 3.150
_cell_length_b 3.150
_cell_length_c 16.826
_cell_angle_alpha 90.00
_cell_angle_beta 90.00
_cell_angle_gamma 90.00
loop_
_atom_site_label
_atom_site_type_symbol
_atom_site_fract_x
_atom_site_fract_y
_atom_site_fract_z
Ca1 Ca 0.000 0.000 0.000
Sb1 Sb 0.000 0.000 0.652
As1 As 0.000 0.000 0.373
# Energy relative to the lowest polymorph listed for this composition, eV per atom: 0.3812
# Formation energy from raw total energies, kJ per mole of atoms: -27.8

Record 5
# GGA-PBE CaSb2As, optimized geometry
data_CaSb2As
_space_group_name_H-M_alt 'P 1 2/m 1'
_space_group_IT_number 10
_cell_length_a 4.838
_cell_length_b 4.131
_cell_length_c 6.075
_cell_angle_alpha 90.00
_cell_angle_beta 111.93
_cell_angle_gamma 90.00
loop_
_space_group_symop_operation_xyz
'x,y,z'
'-x,-y,-z'
'-x,y,-z'
'x,-y,z'
loop_
_atom_site_label
_atom_site_type_symbol
_atom_site_fract_x
_atom_site_fract_y
_atom_site_fract_z
Ca1 Ca 0.000 0.000 0.000
Sb1 Sb 0.426 0.500 0.744
As1 As 0.000 0.000 0.500
# Formation energy from raw total energies, kJ per mole of atoms: -34.1

Record 6
# GGA-PBE CaSbAs, optimized geometry
data_CaSbAs
_space_group_name_H-M_alt 'C m c m'
_space_group_IT_number 63
_space_group_name_Hall '-C 2c 2'
_cell_length_a 4.271
_cell_length_b 17.237
_cell_length_c 4.339
_cell_angle_alpha 90.00
_cell_angle_beta 90.00
_cell_angle_gamma 90.00
loop_
_atom_site_label
_atom_site_type_symbol
_atom_site_fract_x
_atom_site_fract_y
_atom_site_fract_z
Ca1 Ca 0.000 0.095 0.250
Sb1 Sb 0.000 0.258 0.750
As1 As 0.000 0.461 0.250
# Energy relative to the lowest polymorph listed for this composition, eV per atom: 0.0000
# Formation energy from raw total energies, kJ per mole of atoms: -64.6

Record 7
# GGA-PBE CaSb2As2, optimized geometry
data_CaSb2As2
_space_group_name_H-M_alt 'P 4/m b m'
_space_group_IT_number 127
_space_group_name_Hall '-P 4 2ab'
_cell_length_a 8.244
_cell_length_b 8.244
_cell_length_c 3.942
_cell_angle_alpha 90.00
_cell_angle_beta 90.00
_cell_angle_gamma 90.00
loop_
_atom_site_label
_atom_site_type_symbol
_atom_site_fract_x
_atom_site_fract_y
_atom_site_fract_z
Ca1 Ca 0.000 0.000 0.000
Sb1 Sb 0.174 0.326 0.500
As1 As 0.166 0.666 0.000
# Energy relative to the lowest polymorph listed for this composition, eV per atom: 0.0000
# Formation energy from raw total energies, kJ per mole of atoms: -25.6

Record 8
# GGA-PBE CaSb2As, optimized geometry
data_CaSb2As
_space_group_name_H-M_alt 'P m m m'
_space_group_IT_number 47
_cell_length_a 3.955
_cell_length_b 4.341
_cell_length_c 6.086
_cell_angle_alpha 90.00
_cell_angle_beta 90.00
_cell_angle_gamma 90.00
loop_
_space_group_symop_operation_xyz
'x,y,z'
'-x,-y,-z'
'-x,-y,z'
'x,y,-z'
'x,-y,-z'
'-x,y,z'
'-x,y,-z'
'x,-y,z'
loop_
_atom_site_label
_atom_site_type_symbol
_atom_site_fract_x
_atom_site_fract_y
_atom_site_fract_z
Ca1 Ca 0.000 0.000 0.000
Sb1 Sb 0.500 0.500 0.263
As1 As 0.000 0.000 0.500
# Formation energy from raw total energies, kJ per mole of atoms: -22.2

Record 9
# GGA-PBE Ca4SbAs, optimized geometry
data_Ca4SbAs
_space_group_name_H-M_alt 'F -4 3 m'
_space_group_IT_number 216
_space_group_name_Hall 'F -4 2 3'
_cell_length_a 8.953
_cell_length_b 8.953
_cell_length_c 8.953
_cell_angle_alpha 90.00
_cell_angle_beta 90.00
_cell_angle_gamma 90.00
loop_
_atom_site_label
_atom_site_type_symbol
_atom_site_fract_x
_atom_site_fract_y
_atom_site_fract_z
Ca1 Ca 0.125 0.125 0.125
Sb1 Sb 0.250 0.250 0.750
As1 As 0.000 0.000 0.500
# Energy relative to the lowest polymorph listed for this composition, eV per atom: 0.8572
# Formation energy from raw total energies, kJ per mole of atoms: 0.8

Record 10
# GGA-PBE CaSbAs, optimized geometry
data_CaSbAs
_space_group_name_H-M_alt 'P 3 m 1'
_space_group_IT_number 156
_cell_length_a 4.7293
_cell_length_b 4.7293
_cell_length_c 4.3644
_cell_angle_alpha 90.00
_cell_angle_beta 90.00
_cell_angle_gamma 120.00
loop_
_space_group_symop_operation_xyz
'x,y,z'
'-y,x-y,z'
'-x+y,-x,z'
'-y,-x,z'
'-x+y,y,z'
'x,x-y,z'
loop_
_atom_site_label
_atom_site_type_symbol
_atom_site_fract_x
_atom_site_fract_y
_atom_site_fract_z
Ca1 Ca 0.0000 0.0000 0.0000
Sb1 Sb 0.6667 0.3333 0.4536
As1 As 0.3333 0.6667 0.6025
# Energy relative to the lowest polymorph listed for this composition, eV per atom: 0.2155
# Formation energy from raw total energies, kJ per mole of atoms: -43.8

Record 11
# GGA-PBE Ca3SbAs, optimized geometry
data_Ca3SbAs
_space_group_name_H-M_alt 'P m m n'
_space_group_IT_number 59
_cell_length_a 4.563
_cell_length_b 7.262
_cell_length_c 9.152
_cell_angle_alpha 90.00
_cell_angle_beta 90.00
_cell_angle_gamma 90.00
loop_
_space_group_symop_operation_xyz
'x,y,z'
'-x,-y,-z'
'-x+1/2,-y+1/2,z'
'x+1/2,y+1/2,-z'
'x+1/2,-y,-z'
'-x+1/2,y,z'
'-x,y+1/2,-z'
'x,-y+1/2,z'
loop_
_atom_site_label
_atom_site_type_symbol
_atom_site_fract_x
_atom_site_fract_y
_atom_site_fract_z
Ca1 Ca 0.250 0.012 0.163
Ca2 Ca 0.250 0.250 0.570
Sb1 Sb 0.250 0.750 0.652
As1 As 0.250 0.250 0.894
# Energy relative to the lowest polymorph listed for this composition, eV per atom: 0.0000
# Formation energy from raw total energies, kJ per mole of atoms: -105.3

Record 12
# GGA-PBE Ca3SbAs, optimized geometry
data_Ca3SbAs
_space_group_name_H-M_alt 'C 1 2/c 1'
_space_group_IT_number 15
_cell_length_a 13.488
_cell_length_b 10.956
_cell_length_c 8.208
_cell_angle_alpha 90.00
_cell_angle_beta 90.03
_cell_angle_gamma 90.00
loop_
_space_group_symop_operation_xyz
'x,y,z'
'-x,-y,-z'
'-x,y,-z+1/2'
'x,-y,z+1/2'
'x+1/2,y+1/2,z'
'-x+1/2,-y+1/2,-z'
'-x+1/2,y+1/2,-z+1/2'
'x+1/2,-y+1/2,z+1/2'
loop_
_atom_site_label
_atom_site_type_symbol
_atom_site_fract_x
_atom_site_fract_y
_atom_site_fract_z
Ca1 Ca 0.101 0.079 0.092
Ca2 Ca 0.101 0.421 0.909
Ca3 Ca 0.250 0.178 0.684
Sb1 Sb 0.000 0.165 0.750
Sb2 Sb 0.000 0.335 0.250
As1 As 0.250 0.054 0.367
# Energy relative to the lowest polymorph listed for this composition, eV per atom: 0.0789
# Formation energy from raw total energies, kJ per mole of atoms: -97.7

Record 13
# GGA-PBE Ca3SbAs, optimized geometry
data_Ca3SbAs
_space_group_name_H-M_alt 'P m -3 m'
_space_group_IT_number 221
_space_group_name_Hall '-P 4 2 3'
_cell_length_a 5.491
_cell_length_b 5.491
_cell_length_c 5.491
_cell_angle_alpha 90.00
_cell_angle_beta 90.00
_cell_angle_gamma 90.00
loop_
_atom_site_label
_atom_site_type_symbol
_atom_site_fract_x
_atom_site_fract_y
_atom_site_fract_z
Ca1 Ca 0.000 0.000 0.500
Sb1 Sb 0.500 0.500 0.500
As1 As 0.000 0.000 0.000
# Energy relative to the lowest polymorph listed for this composition, eV per atom: 0.1744
# Formation energy from raw total energies, kJ per mole of atoms: -88.5